1.
DFT (GGA-PBE) results for a relaxed CaSc2Fe crystal.

a b c (Å): 3.2943 4.8551 11.1955
angles (deg): 90.00 90.00 90.00
Fractional positions:
Ca 0.0000 0.0000 0.0000
Ca 0.5000 0.5000 0.5000
Sc 0.0000 0.0000 0.3717
Sc 0.0000 0.5000 0.1971
Sc 0.5000 0.0000 0.6971
Sc 0.5000 0.5000 0.8717
Fe 0.0000 0.5000 0.7100
Fe 0.5000 0.0000 0.2100

Its space group is Imm2 (44). For the offset from the most stable computed form, the calculation gives 234 meV per atom. Its total magnetic moment is 0.00 μB/cell. The formation energy is 0.93 eV per formula unit. As for the density of states at the Fermi level: 3.9 states/eV/f.u. The total energy comes out at -44.40 eV/cell.

---

2.
DFT (GGA-PBE) results for a relaxed YAs2Os crystal.

a b c (Å): 4.0490 5.4795 6.9890
angles (deg): 90.00 90.00 90.00
Fractional positions:
Y 0.0000 0.0000 0.0000
Y 0.5000 0.5000 0.5000
As 0.0000 0.5000 0.2091
As 0.0000 0.5000 0.7909
As 0.5000 0.0000 0.2909
As 0.5000 0.0000 0.7091
Os 0.0000 0.0000 0.5000
Os 0.5000 0.5000 0.0000

Its space group is Immm (71). For the offset from the most stable computed form, the calculation gives 174 meV per atom. Its total magnetic moment is 0.00 μB/cell. The formation energy is -1.46 eV per formula unit. As for the density of states at the Fermi level: 2.8 states/eV/f.u. The total energy comes out at -56.91 eV/cell.

---

3.
DFT (GGA-PBE) results for a relaxed Rb2AlTlO4 crystal.

a b c (Å): 6.0510 6.0510 8.1149
angles (deg): 90.00 90.00 90.00
Fractional positions:
Rb 0.0000 0.0000 0.0000
Rb 0.0000 0.5000 0.2500
Rb 0.5000 0.0000 0.7500
Rb 0.5000 0.5000 0.5000
Al 0.0000 0.0000 0.5000
Al 0.5000 0.5000 0.0000
Tl 0.0000 0.5000 0.7500
Tl 0.5000 0.0000 0.2500
O 0.1302 0.7826 0.6150
O 0.2174 0.1302 0.3850
O 0.2826 0.3698 0.8850
O 0.3698 0.7174 0.1150
O 0.6302 0.2826 0.1150
O 0.7174 0.6302 0.8850
O 0.7826 0.8698 0.3850
O 0.8698 0.2174 0.6150

Its space group is I-4 (82). Its total magnetic moment is 0.00 μB/cell. Its formation energy without anion corrections is -1.716 eV/atom. As for the density of states at the Fermi level: 0.0 states/eV/f.u. The total energy comes out at -83.21 eV/cell.

---

4.
DFT (GGA-PBE) results for a relaxed CaDyHo2S4 crystal.

a b c (Å): 6.7878 3.9022 6.7917
angles (deg): 90.00 109.17 90.00
Fractional positions:
Ca 0.0000 0.0000 0.0000
Dy 0.0000 0.5000 0.5000
Ho 0.5000 0.0000 0.5000
Ho 0.5000 0.5000 0.0000
S 0.2523 0.0000 0.7503
S 0.2542 0.5000 0.2528
S 0.7458 0.5000 0.7472
S 0.7477 0.0000 0.2497

Its space group is P2/m (10). Its total magnetic moment is 0.00 μB/cell. Its formation energy without anion corrections is -2.011 eV/atom. As for the density of states at the Fermi level: 2.4 states/eV/f.u. The total energy comes out at -48.36 eV/cell.

---

5.
DFT (GGA-PBE) results for a relaxed SrY3Ru crystal.

a b c (Å): 8.9988 8.9988 5.2022
angles (deg): 90.00 90.00 115.99
Fractional positions:
Sr 0.2423 0.7577 0.7500
Sr 0.7577 0.2423 0.2500
Y 0.0000 0.0000 0.0000
Y 0.0000 0.0000 0.5000
Y 0.2530 0.4128 0.2500
Y 0.4128 0.2530 0.7500
Y 0.5872 0.7470 0.2500
Y 0.7470 0.5872 0.7500
Ru 0.4364 0.5636 0.7500
Ru 0.5636 0.4364 0.2500

Its space group is Cmcm (63). For the offset from the most stable computed form, the calculation gives 568 meV per atom. Its total magnetic moment is 0.00 μB/cell. The formation energy is 1.96 eV per formula unit. As for the density of states at the Fermi level: 5.3 states/eV/f.u. The total energy comes out at -56.78 eV/cell.

---

6.
DFT (GGA-PBE) results for a relaxed Cs2LiRuCl6 crystal.

a b c (Å): 12.7390 12.7390 12.7390
angles (deg): 33.29 33.29 33.29
Fractional positions:
Cs 0.1234 0.1234 0.1234
Cs 0.2917 0.2917 0.2917
Cs 0.7083 0.7083 0.7083
Cs 0.8766 0.8766 0.8766
Li 0.0000 0.0000 0.0000
Li 0.5000 0.5000 0.5000
Ru 0.4141 0.4141 0.4141
Ru 0.5859 0.5859 0.5859
Cl 0.1505 0.6051 0.6051
Cl 0.2188 0.2188 0.6907
Cl 0.2188 0.6907 0.2188
Cl 0.3093 0.7812 0.7812
Cl 0.3949 0.3949 0.8495
Cl 0.3949 0.8495 0.3949
Cl 0.6051 0.1505 0.6051
Cl 0.6051 0.6051 0.1505
Cl 0.6907 0.2188 0.2188
Cl 0.7812 0.3093 0.7812
Cl 0.7812 0.7812 0.3093
Cl 0.8495 0.3949 0.3949

Its space group is R-3m (166). Its total magnetic moment is 2.01 μB/cell. Its formation energy without anion corrections is -1.383 eV/atom. As for the density of states at the Fermi level: 9.0 states/eV/f.u. The total energy comes out at -75.62 eV/cell.